First-principles (PBE) data for CdCoNiGe after structural relaxation, as listed in the Open Quantum Materials Database.

Unit cell a=4.287 b=4.287 c=4.287 alpha=60.00 beta=60.00 gamma=60.00
Atoms (fractional coordinates):
Cd (0.000, 0.000, 0.000)
Co (0.750, 0.750, 0.750)
Ni (0.250, 0.250, 0.250)
Ge (0.500, 0.500, 0.500)

Results
Its symmetry is F-43m. For the total DFT energy (no corrections), the calculation gives -4.46 eV per atom. The calculated volume comes out at 55.70 Å³/f.u. For the energy above the lowest structure with this stoichiometry, the calculation gives 0 meV/atom.

First-principles (PBE) data for SmGdTa after structural relaxation, as listed in the Open Quantum Materials Database.

Unit cell a=5.034 b=5.034 c=5.034 alpha=60.00 beta=60.00 gamma=60.00
Atoms (fractional coordinates):
Sm (0.000, 0.000, 0.000)
Gd (0.750, 0.750, 0.750)
Ta (0.250, 0.250, 0.250)

Results
Its symmetry is F-43m. For the total DFT energy (no corrections), the calculation gives -5.76 eV per atom. The calculated volume comes out at 90.19 Å³/f.u.

First-principles (PBE) data for Er3LuSc2Bi2Os after structural relaxation, as listed in the Open Quantum Materials Database.

Unit cell a=4.207 b=8.015 c=8.015 alpha=120.10 beta=90.00 gamma=90.00
Atoms (fractional coordinates):
Er (0.000, 0.000, 0.000)
Er (0.000, 0.378, 0.765)
Er (0.000, 0.765, 0.378)
Lu (0.500, 0.608, 0.608)
Sc (0.500, 0.154, 0.380)
Sc (0.500, 0.380, 0.154)
Bi (0.500, 0.051, 0.715)
Bi (0.500, 0.715, 0.051)
Os (0.000, 0.373, 0.373)

Results
Its symmetry is Amm2. For the total DFT energy (no corrections), the calculation gives -6.17 eV per atom. The calculated volume comes out at 233.79 Å³/f.u.

First-principles (PBE) data for KLuH4 after structural relaxation, as listed in the Open Quantum Materials Database.

Unit cell a=5.986 b=5.986 c=5.986 alpha=119.38 beta=119.38 gamma=91.08
Atoms (fractional coordinates):
K (0.375, 0.125, 0.250)
K (0.625, 0.875, 0.750)
Lu (0.125, 0.375, 0.750)
Lu (0.875, 0.625, 0.250)
H (0.043, 0.341, 0.043)
H (0.159, 0.702, 0.702)
H (0.202, 0.000, 0.543)
H (0.500, 0.457, 0.798)
H (0.500, 0.543, 0.202)
H (0.798, 0.000, 0.457)
H (0.841, 0.298, 0.298)
H (0.957, 0.659, 0.957)

Results
Its symmetry is I4_1/a. For the total DFT energy (no corrections), the calculation gives -3.57 eV per atom. The calculated volume comes out at 76.53 Å³/f.u.

First-principles (PBE) data for NbCuOs after structural relaxation, as listed in the Open Quantum Materials Database.

Unit cell a=4.241 b=4.241 c=4.241 alpha=60.00 beta=60.00 gamma=60.00
Atoms (fractional coordinates):
Nb (0.000, 0.000, 0.000)
Cu (0.750, 0.750, 0.750)
Os (0.250, 0.250, 0.250)

Results
Its symmetry is F-43m. For the total DFT energy (no corrections), the calculation gives -7.72 eV per atom. The calculated volume comes out at 53.92 Å³/f.u. For the energy above the lowest structure with this stoichiometry, the calculation gives 148 meV/atom.

First-principles (PBE) data for Gd3Pt4 after structural relaxation, as listed in the Open Quantum Materials Database.

Unit cell a=7.913 b=7.913 c=7.913 alpha=114.34 beta=114.34 gamma=114.34
Atoms (fractional coordinates):
Gd (0.028, 0.280, 0.405)
Gd (0.280, 0.405, 0.028)
Gd (0.405, 0.028, 0.280)
Gd (0.595, 0.972, 0.720)
Gd (0.720, 0.595, 0.972)
Gd (0.972, 0.720, 0.595)
Pt (0.000, 0.000, 0.000)
Pt (0.061, 0.553, 0.226)
Pt (0.226, 0.061, 0.553)
Pt (0.447, 0.774, 0.939)
Pt (0.500, 0.500, 0.500)
Pt (0.553, 0.226, 0.061)
Pt (0.774, 0.939, 0.447)
Pt (0.939, 0.447, 0.774)

Results
Its symmetry is R-3. For the total DFT energy (no corrections), the calculation gives -6.65 eV per atom. The calculated volume comes out at 146.61 Å³/f.u.

First-principles (PBE) data for TaCdCuSi after structural relaxation, as listed in the Open Quantum Materials Database.

Unit cell a=4.505 b=4.505 c=4.505 alpha=60.00 beta=60.00 gamma=60.00
Atoms (fractional coordinates):
Ta (0.000, 0.000, 0.000)
Cd (0.750, 0.750, 0.750)
Cu (0.500, 0.500, 0.500)
Si (0.250, 0.250, 0.250)

Results
Its symmetry is F-43m. For the total DFT energy (no corrections), the calculation gives -5.04 eV per atom. The calculated volume comes out at 64.65 Å³/f.u. For the energy above the lowest structure with this stoichiometry, the calculation gives 0 meV/atom.

First-principles (PBE) data for NdAuSeO after structural relaxation, as listed in the Open Quantum Materials Database.

Unit cell a=4.191 b=6.044 c=6.523 alpha=90.00 beta=90.00 gamma=90.00
Atoms (fractional coordinates):
Nd (0.000, 0.247, 0.000)
Nd (0.000, 0.753, 0.500)
Au (0.500, 0.343, 0.618)
Au (0.500, 0.657, 0.118)
Se (0.500, 0.085, 0.304)
Se (0.500, 0.915, 0.804)
O (0.000, 0.464, 0.718)
O (0.000, 0.536, 0.218)

Results
Its symmetry is Pmc2_1. For the total DFT energy (no corrections), the calculation gives -5.51 eV per atom. The calculated volume comes out at 82.61 Å³/f.u.

First-principles (PBE) data for LuScSi2Ni after structural relaxation, as listed in the Open Quantum Materials Database.

Unit cell a=5.376 b=5.376 c=9.583 alpha=115.57 beta=115.57 gamma=44.00
Atoms (fractional coordinates):
Lu (0.187, 0.187, 0.106)
Lu (0.813, 0.813, 0.894)
Sc (0.004, 0.004, 0.330)
Sc (0.996, 0.996, 0.670)
Si (0.359, 0.359, 0.437)
Si (0.488, 0.488, 0.125)
Si (0.512, 0.512, 0.875)
Si (0.641, 0.641, 0.563)
Ni (0.274, 0.274, 0.637)
Ni (0.726, 0.726, 0.363)

Results
Its symmetry is C2/m. For the total DFT energy (no corrections), the calculation gives -6.29 eV per atom. The calculated volume comes out at 85.15 Å³/f.u.

First-principles (PBE) data for NaYNiGe after structural relaxation, as listed in the Open Quantum Materials Database.

Unit cell a=4.829 b=4.829 c=4.829 alpha=60.00 beta=60.00 gamma=60.00
Atoms (fractional coordinates):
Na (0.000, 0.000, 0.000)
Y (0.500, 0.500, 0.500)
Ni (0.250, 0.250, 0.250)
Ge (0.750, 0.750, 0.750)

Results
Its symmetry is F-43m. For the total DFT energy (no corrections), the calculation gives -4.62 eV per atom. The calculated volume comes out at 79.63 Å³/f.u. For the energy above the lowest structure with this stoichiometry, the calculation gives 105 meV/atom.

First-principles (PBE) data for Sr2Si2Au after structural relaxation, as listed in the Open Quantum Materials Database.

Unit cell a=9.608 b=9.608 c=9.608 alpha=157.75 beta=157.75 gamma=31.67
Atoms (fractional coordinates):
Sr (0.106, 0.106, 0.000)
Sr (0.894, 0.894, 0.000)
Si (0.250, 0.750, 0.500)
Si (0.750, 0.250, 0.500)
Au (0.500, 0.500, 0.000)

Results
Its symmetry is I4/mmm. For the total DFT energy (no corrections), the calculation gives -3.77 eV per atom. The calculated volume comes out at 127.06 Å³/f.u. For the energy above the lowest structure with this stoichiometry, the calculation gives 0 meV/atom.

First-principles (PBE) data for RbTmGeSe3 after structural relaxation, as listed in the Open Quantum Materials Database.

Unit cell a=8.251 b=8.251 c=11.679 alpha=90.00 beta=90.00 gamma=151.53
Atoms (fractional coordinates):
Rb (0.211, 0.789, 0.750)
Rb (0.789, 0.211, 0.250)
Tm (0.500, 0.500, 0.000)
Tm (0.500, 0.500, 0.500)
Ge (0.091, 0.909, 0.250)
Ge (0.909, 0.091, 0.750)
Se (0.121, 0.879, 0.017)
Se (0.121, 0.879, 0.483)
Se (0.486, 0.514, 0.250)
Se (0.514, 0.486, 0.750)
Se (0.879, 0.121, 0.517)
Se (0.879, 0.121, 0.983)

Results
Its symmetry is Cmcm. For the total DFT energy (no corrections), the calculation gives -4.53 eV per atom. The calculated volume comes out at 189.48 Å³/f.u. For the energy above the lowest structure with this stoichiometry, the calculation gives 134 meV/atom.

First-principles (PBE) data for NaTcAgSeS2 after structural relaxation, as listed in the Open Quantum Materials Database.

Unit cell a=7.165 b=7.165 c=9.957 alpha=90.00 beta=90.00 gamma=151.05
Atoms (fractional coordinates):
Na (0.246, 0.754, 0.750)
Na (0.754, 0.246, 0.250)
Tc (0.000, 0.000, 0.000)
Tc (0.000, 0.000, 0.500)
Ag (0.437, 0.563, 0.250)
Ag (0.563, 0.437, 0.750)
Se (0.080, 0.920, 0.250)
Se (0.920, 0.080, 0.750)
S (0.377, 0.623, 0.023)
S (0.377, 0.623, 0.477)
S (0.623, 0.377, 0.523)
S (0.623, 0.377, 0.977)

Results
Its symmetry is Cmcm. For the total DFT energy (no corrections), the calculation gives -4.66 eV per atom. The calculated volume comes out at 123.71 Å³/f.u.

First-principles (PBE) data for ErAlIr after structural relaxation, as listed in the Open Quantum Materials Database.

Unit cell a=4.595 b=4.595 c=4.595 alpha=60.00 beta=60.00 gamma=60.00
Atoms (fractional coordinates):
Er (0.000, 0.000, 0.000)
Al (0.750, 0.750, 0.750)
Ir (0.250, 0.250, 0.250)

Results
Its symmetry is F-43m. For the total DFT energy (no corrections), the calculation gives -5.52 eV per atom. The calculated volume comes out at 68.59 Å³/f.u.

First-principles (PBE) data for BaNdAgTe3 after structural relaxation, as listed in the Open Quantum Materials Database.

Unit cell a=8.982 b=4.579 c=10.680 alpha=90.00 beta=105.51 gamma=90.00
Atoms (fractional coordinates):
Ba (0.227, 0.250, 0.279)
Ba (0.773, 0.750, 0.721)
Nd (0.309, 0.750, 0.841)
Nd (0.691, 0.250, 0.159)
Ag (0.082, 0.250, 0.592)
Ag (0.918, 0.750, 0.408)
Te (0.071, 0.250, 0.857)
Te (0.256, 0.750, 0.537)
Te (0.440, 0.750, 0.150)
Te (0.560, 0.250, 0.850)
Te (0.744, 0.250, 0.463)
Te (0.929, 0.750, 0.143)

Results
Its symmetry is P2_1/m. For the total DFT energy (no corrections), the calculation gives -4.42 eV per atom. The calculated volume comes out at 211.62 Å³/f.u.

First-principles (PBE) data for Cu2HgI3Cl after structural relaxation, as listed in the Open Quantum Materials Database.

Unit cell a=5.998 b=5.998 c=6.272 alpha=91.32 beta=91.32 gamma=89.18
Atoms (fractional coordinates):
Cu (0.244, 0.756, 0.000)
Cu (0.756, 0.244, 0.000)
Hg (0.752, 0.752, 0.509)
I (0.024, 0.487, 0.235)
I (0.485, 0.485, 0.768)
I (0.487, 0.024, 0.235)
Cl (0.006, 0.006, 0.786)

Results
Its symmetry is Cm. For the total DFT energy (no corrections), the calculation gives -2.31 eV per atom. The calculated volume comes out at 225.50 Å³/f.u.

First-principles (PBE) data for CsGdTe after structural relaxation, as listed in the Open Quantum Materials Database.

Unit cell a=5.660 b=5.660 c=5.660 alpha=60.00 beta=60.00 gamma=60.00
Atoms (fractional coordinates):
Cs (0.000, 0.000, 0.000)
Gd (0.500, 0.500, 0.500)
Te (0.250, 0.250, 0.250)

Results
Its symmetry is F-43m. For the total DFT energy (no corrections), the calculation gives -3.00 eV per atom. The calculated volume comes out at 128.23 Å³/f.u.

First-principles (PBE) data for Ni8Hg after structural relaxation, as listed in the Open Quantum Materials Database.

Unit cell a=4.266 b=4.266 c=24.319 alpha=90.19 beta=90.19 gamma=47.73
Atoms (fractional coordinates):
Ni (0.049, 0.049, 0.048)
Ni (0.149, 0.149, 0.146)
Ni (0.150, 0.150, 0.821)
Ni (0.250, 0.250, 0.242)
Ni (0.251, 0.251, 0.919)
Ni (0.350, 0.350, 0.016)
Ni (0.449, 0.449, 0.113)
Ni (0.449, 0.449, 0.789)
Ni (0.551, 0.551, 0.211)
Ni (0.551, 0.551, 0.887)
Ni (0.650, 0.650, 0.984)
Ni (0.749, 0.749, 0.081)
Ni (0.750, 0.750, 0.758)
Ni (0.850, 0.850, 0.179)
Ni (0.851, 0.851, 0.854)
Ni (0.951, 0.951, 0.952)
Hg (0.050, 0.050, 0.705)
Hg (0.950, 0.950, 0.295)

Results
Its symmetry is C2/m. For the total DFT energy (no corrections), the calculation gives -4.83 eV per atom. The calculated volume comes out at 163.72 Å³/f.u.

First-principles (PBE) data for Sn2HgO4 after structural relaxation, as listed in the Open Quantum Materials Database.

Unit cell a=6.774 b=6.774 c=6.774 alpha=60.00 beta=60.00 gamma=60.00
Atoms (fractional coordinates):
Sn (0.000, 0.000, 0.000)
Sn (0.000, 0.000, 0.500)
Sn (0.000, 0.500, 0.000)
Sn (0.500, 0.000, 0.000)
Hg (0.375, 0.375, 0.375)
Hg (0.625, 0.625, 0.625)
O (0.180, 0.773, 0.773)
O (0.227, 0.227, 0.227)
O (0.227, 0.227, 0.820)
O (0.227, 0.820, 0.227)
O (0.773, 0.180, 0.773)
O (0.773, 0.773, 0.180)
O (0.773, 0.773, 0.773)
O (0.820, 0.227, 0.227)

Results
Its symmetry is Fd-3m. For the total DFT energy (no corrections), the calculation gives -5.04 eV per atom. The calculated volume comes out at 109.88 Å³/f.u.

First-principles (PBE) data for CsLaCu after structural relaxation, as listed in the Open Quantum Materials Database.

Unit cell a=5.313 b=5.313 c=5.313 alpha=60.00 beta=60.00 gamma=60.00
Atoms (fractional coordinates):
Cs (0.000, 0.000, 0.000)
La (0.500, 0.500, 0.500)
Cu (0.250, 0.250, 0.250)

Results
Its symmetry is F-43m. For the total DFT energy (no corrections), the calculation gives -2.52 eV per atom. The calculated volume comes out at 106.05 Å³/f.u. For the energy above the lowest structure with this stoichiometry, the calculation gives 0 meV/atom.